No. 1
A plane-wave DFT calculation with PBE was carried out for a geometry-optimized LiTcF structure.

Lattice parameters (Å, degrees): 2.809 2.809 10.165 90.14 90.14 59.84
Positions (direct):
Li: 0.000 0.000 0.000
Li: 0.669 0.669 0.238
Tc: 0.005 0.005 0.546
Tc: 0.671 0.671 0.740
F: 0.002 0.002 0.330
F: 0.333 0.333 0.096

The formation energy from raw total energies comes out at -1.593 eV/atom. The value obtained for the offset from the most stable computed form is 0.004 eV per atom. The final energy is -6.3103 eV per atom. As for the total moment: 0.000 μB/f.u.

***

No. 2
A plane-wave DFT calculation with PBE was carried out for a geometry-optimized LiTcF2 structure.

Lattice parameters (Å, degrees): 6.598 6.598 6.598 23.81 23.81 23.81
Positions (direct):
Li: 0.000 0.000 0.000
Tc: 0.500 0.500 0.500
F: 0.393 0.393 0.393
F: 0.607 0.607 0.607

The formation energy from raw total energies comes out at -1.897 eV/atom. The value obtained for the offset from the most stable computed form is 0.000 eV per atom. The final energy is -5.9024 eV per atom. As for the total moment: 0.000 μB/f.u.

***

No. 3
A plane-wave DFT calculation with PBE was carried out for a geometry-optimized Li5Tc2F12 structure.

Lattice parameters (Å, degrees): 6.097 6.097 8.158 107.08 107.08 54.14
Positions (direct):
Li: 0.000 0.000 0.000
Li: 0.265 0.265 0.063
Li: 0.371 0.371 0.827
Li: 0.629 0.629 0.173
Li: 0.735 0.735 0.937
Tc: 0.202 0.798 0.500
Tc: 0.798 0.202 0.500
F: 0.053 0.053 0.317
F: 0.063 0.583 0.350
F: 0.118 0.616 0.976
F: 0.384 0.882 0.024
F: 0.417 0.937 0.650
F: 0.459 0.459 0.642
F: 0.541 0.541 0.358
F: 0.583 0.063 0.350
F: 0.616 0.118 0.976
F: 0.882 0.384 0.024
F: 0.937 0.417 0.650
F: 0.947 0.947 0.683

The formation energy from raw total energies comes out at -2.361 eV/atom. The final energy is -5.1372 eV per atom. As for the total moment: 2.976 μB/f.u.

***

No. 4
A plane-wave DFT calculation with PBE was carried out for a geometry-optimized LiTc2F structure.

Lattice parameters (Å, degrees): 5.983 5.983 5.983 95.55 95.55 143.77
Positions (direct):
Li: 0.000 0.000 0.000
Li: 0.750 0.250 0.500
Tc: 0.207 0.625 0.082
Tc: 0.375 0.457 0.582
Tc: 0.543 0.125 0.918
Tc: 0.875 0.793 0.418
F: 0.250 0.750 0.500
F: 0.500 0.500 0.000

The formation energy from raw total energies comes out at 0.029 eV/atom. The value obtained for the offset from the most stable computed form is 0.000 eV per atom. The final energy is -6.1002 eV per atom. As for the total moment: 0.000 μB/f.u.

***

The highest formation energy from raw total energies belongs to which entry? LiTc2F

***

Which of these has the highest total moment? Li5Tc2F12

***

Which formula does entry 4 have? LiTc2F

***

Among the records above, which one has the highest total moment? Li5Tc2F12